Computed, not measured: Ti4As2H after structural relaxation at the PBE level of DFT.

Calculated values
- calculated volume (Å³/cell) = 213.0
- offset from the most stable computed form (meV per atom) = 310
- crystal system = monoclinic

Unit cell a=12.4811 b=3.3160 c=5.7874 alpha=90.00 beta=117.20 gamma=90.00
Space group C2/m (No. 12)
Symmetry-distinct sites (fractional):
Ti 0.0965 0.0000 0.4267 (multiplicity 4)
Ti 0.0993 0.5000 0.9358 (multiplicity 4)
As 0.2467 0.5000 0.7445 (multiplicity 4)
H 0.0000 0.0000 0.0000 (multiplicity 2)

=====

Computed, not measured: PuUSn after structural relaxation at the PBE level of DFT.

Calculated values
- calculated volume (Å³/cell) = 67.6
- energy relative to the elements (meV per atom) = 36
- offset from the most stable computed form (meV per atom) = 93
- crystal system = hexagonal

Unit cell a=4.9809 b=4.9809 c=3.1454 alpha=90.00 beta=90.00 gamma=120.00
Space group P-6m2 (No. 187)
Symmetry-distinct sites (fractional):
Pu 0.0000 0.0000 0.0000 (multiplicity 1)
U 0.3333 0.6667 0.0000 (multiplicity 1)
Sn 0.6667 0.3333 0.5000 (multiplicity 1)

=====

Computed, not measured: CdP after structural relaxation at the PBE level of DFT.

Calculated values
- calculated volume (Å³/cell) = 80.1
- energy relative to the elements (meV per atom) = 443
- offset from the most stable computed form (meV per atom) = 485
- crystal system = orthorhombic

Unit cell a=3.9298 b=5.2682 c=3.8707 alpha=90.00 beta=90.00 gamma=90.00
Space group Cmmm (No. 65)
Symmetry-distinct sites (fractional):
Cd 0.0000 0.0000 0.0000 (multiplicity 2)
P 0.0000 0.5000 0.5000 (multiplicity 2)

=====

Computed, not measured: Tb6HgAs2S3 after structural relaxation at the PBE level of DFT.

Calculated values
- calculated volume (Å³/cell) = 571.3
- formation energy from raw total energies (meV per atom) = -1568
- crystal system = monoclinic

Unit cell a=17.7678 b=4.0353 c=8.2090 alpha=90.00 beta=103.90 gamma=90.00
Space group C2/m (No. 12)
Symmetry-distinct sites (fractional):
Tb 0.0025 0.0000 0.2317 (multiplicity 4)
Tb 0.1678 0.5000 0.0817 (multiplicity 4)
Tb 0.1721 0.5000 0.5847 (multiplicity 4)
Hg 0.0000 0.5000 0.5000 (multiplicity 2)
As 0.1655 0.0000 0.8317 (multiplicity 4)
S 0.0000 0.5000 0.0000 (multiplicity 2)
S 0.1685 0.0000 0.3316 (multiplicity 4)